Record 1
LuNb: relaxed, GGA-PBE.

```
4
Lattice="-4.519 -0.088 -2.376 2.692 -4.307 0.526 -2.504 -0.979 4.799" Properties=species:S:1:pos:R:3 pbc="T T T"
Lu -2.347 -0.918 4.499
Lu -0.807 -3.329 1.658
Nb -1.095 -0.428 2.100
Nb -2.059 -3.818 4.058
```

---

Record 2
LuNb: relaxed, GGA-PBE.

```
2
Lattice="0.000 3.367 3.367 3.367 0.000 3.367 3.367 3.367 0.000" Properties=species:S:1:pos:R:3 pbc="T T T"
Nb 1.683 1.683 1.683
Lu 0.000 0.000 0.000
```

---

Record 3
LuNb: relaxed, GGA-PBE.

```
2
Lattice="3.184 0.000 0.000 -1.592 2.758 0.000 0.000 0.000 5.152" Properties=species:S:1:pos:R:3 pbc="T T T"
Lu 1.592 0.919 3.864
Nb 0.000 1.839 1.288
```

---

no.,VASP energy (eV per atom),energy above the lowest structure with this stoichiometry (meV per atom),total magnetic moment (μB per formula unit)
1,-5.436,1540,1.65
2,-4.789,2187,4.03
3,-6.976,0,0.00